Entry 1:
HoB2Os | PBE-GGA | relaxed

Results
As for the crystal system: trigonal. The value obtained for the excess energy over the best structure of this formula in the dataset is 317.0 meV per atom. For the formation energy, the calculation gives -0.27 eV/atom.

a b c (Å): 3.661 3.661 5.117
angles (deg): 69.04 69.04 60.00
Positions (direct):
B 0.292 0.292 0.124
B 0.708 0.708 0.876
Ho 0.500 0.500 0.500
Os 0.000 0.000 0.000

***

Entry 2:
CaTl2In | PBE-GGA | relaxed

Results
As for the crystal system: cubic. For the formation energy, the calculation gives -0.17 eV/atom.

a b c (Å): 5.487 5.487 5.487
angles (deg): 60.00 60.00 60.00
Positions (direct):
In 0.750 0.750 0.750
Tl 0.250 0.250 0.250
Tl 0.000 0.000 0.000
Ca 0.500 0.500 0.500

***

Entry 3:
HfTaCrNi2 | PBE-GGA | relaxed

Results
As for the crystal system: tetragonal. For the formation energy, the calculation gives 1.03 eV/atom.

a b c (Å): 4.505 4.424 4.505
angles (deg): 90.00 90.00 90.00
Positions (direct):
Hf 0.500 0.500 0.500
Ta 0.000 0.000 0.000
Ni 0.500 0.000 0.000
Ni 0.000 0.000 0.500
Cr 0.000 0.500 0.000

***

Entry 4:
TlMo3I | PBE-GGA | relaxed

Results
As for the crystal system: cubic. The value obtained for the uncorrected formation energy is 1995 meV per atom. The value obtained for the excess energy over the best structure of this formula in the dataset is 0.0 meV per atom.

a b c (Å): 4.901 4.901 4.901
angles (deg): 90.00 90.00 90.00
Positions (direct):
Mo 0.500 0.000 0.000
Mo 0.000 0.000 0.500
Mo 0.000 0.500 0.000
Tl 0.500 0.500 0.500
I 0.000 0.000 0.000

***

Entry 5:
Rb2ZrCrSe4 | PBE-GGA | relaxed

Results
As for the crystal system: tetragonal. The value obtained for the uncorrected formation energy is -998 meV per atom.

a b c (Å): 7.065 7.065 7.065
angles (deg): 102.70 112.96 112.96
Positions (direct):
Se 0.117 0.257 0.670
Se 0.587 0.330 0.447
Se 0.883 0.553 0.140
Se 0.413 0.860 0.743
Rb 0.500 0.750 0.250
Rb 0.000 0.000 0.000
Cr 0.000 0.500 0.500
Zr 0.500 0.250 0.750

***

Entry 6:
Ca2LaCd2 | PBE-GGA | relaxed

Results
As for the crystal system: monoclinic. The value obtained for the excess energy over the best structure of this formula in the dataset is 0.0 meV per atom. For the formation energy, the calculation gives -0.25 eV/atom.

a b c (Å): 3.832 5.634 14.736
angles (deg): 90.00 97.49 90.00
Positions (direct):
Cd 0.636 0.750 0.271
Cd 0.550 0.250 0.099
Cd 0.450 0.750 0.901
Cd 0.364 0.250 0.729
Ca 0.955 0.250 0.911
Ca 0.772 0.250 0.543
Ca 0.228 0.750 0.457
Ca 0.045 0.750 0.089
La 0.857 0.750 0.715
La 0.143 0.250 0.285

***

Entry 7:
TaSiOF2 | PBE-GGA | relaxed

Results
As for the crystal system: tetragonal. The value obtained for the uncorrected formation energy is -505 meV per atom. The value obtained for the excess energy over the best structure of this formula in the dataset is 755.9 meV per atom.

a b c (Å): 4.601 4.601 3.271
angles (deg): 90.00 90.00 90.00
Positions (direct):
F 0.500 0.000 0.000
F 0.000 0.500 0.000
Ta 0.500 0.500 0.500
O 0.000 0.000 0.500
Si 0.000 0.000 0.000

***

Entry 8:
SmSc3As2 | PBE-GGA | relaxed

Results
As for the crystal system: monoclinic. For the formation energy, the calculation gives -0.87 eV/atom.

a b c (Å): 3.941 7.939 10.087
angles (deg): 111.16 90.00 104.37
Positions (direct):
Sc 0.285 0.570 0.629
Sc 0.380 0.759 0.314
Sc 0.058 0.117 0.394
Sc 0.942 0.883 0.606
Sc 0.620 0.241 0.686
Sc 0.715 0.430 0.371
As 0.480 0.960 0.814
As 0.773 0.546 0.159
As 0.227 0.454 0.841
As 0.520 0.040 0.186
Sm 0.123 0.246 0.034
Sm 0.877 0.754 0.966